[1]
VASP calculation (PBE) on an optimized crystal structure of SrMg2Ag.

```
SrMg2Ag
1.0
3.554 -2.120 3.284
-1.258 -4.258 2.863
2.178 -4.679 -1.128
Sr Mg Ag
1 2 1
Direct
0.000 0.000 0.000
0.250 0.250 0.250
0.500 0.500 0.500
0.750 0.750 0.750
```

---

[2]
VASP calculation (PBE) on an optimized crystal structure of Hf2Ga2O5.

```
Hf2Ga2O5
1.0
8.357 0.000 0.000
0.000 3.988 0.000
0.000 0.000 3.988
Ga Hf O
2 2 5
Direct
0.500 0.000 0.000
0.000 0.000 0.000
0.263 0.500 0.500
0.737 0.500 0.500
0.788 0.500 0.000
0.788 0.000 0.500
0.212 0.000 0.500
0.212 0.500 0.000
0.500 0.500 0.500
```

Calculated values
ΔE to the lowest computed polymorph in eV/atom: 0.000

---

[3]
VASP calculation (PBE) on an optimized crystal structure of CsPtNO.

```
CsPtNO
1.0
-2.018 -3.494 0.000
0.000 0.000 7.476
-4.592 2.651 0.000
Pt N O Cs
2 2 2 2
Direct
0.000 0.062 0.504
0.000 0.562 0.496
0.000 0.812 0.502
0.000 0.312 0.498
0.500 0.059 0.588
0.500 0.559 0.412
0.500 0.821 0.016
0.500 0.321 0.984
```

Calculated values
ΔE to the lowest computed polymorph in eV/atom: 0.000

---

[4]
VASP calculation (PBE) on an optimized crystal structure of UFe5Sn.

```
UFe5Sn
1.0
7.968 0.000 0.000
0.000 4.807 0.000
0.000 0.000 10.531
U Fe Sn
4 20 4
Direct
0.740 0.750 0.441
0.760 0.250 0.941
0.260 0.250 0.559
0.240 0.750 0.059
0.433 0.501 0.312
0.567 0.499 0.688
0.932 0.250 0.396
0.593 0.250 0.482
0.812 0.750 0.751
0.407 0.750 0.518
0.933 0.999 0.188
0.093 0.250 0.018
0.688 0.250 0.251
0.433 0.999 0.312
0.933 0.501 0.188
0.312 0.750 0.749
0.567 0.001 0.688
0.067 0.001 0.812
0.067 0.499 0.812
0.907 0.750 0.982
0.432 0.250 0.104
0.568 0.750 0.896
0.068 0.750 0.604
0.188 0.250 0.249
0.867 0.250 0.640
0.133 0.750 0.360
0.367 0.250 0.860
0.633 0.750 0.140
```

---

[5]
VASP calculation (PBE) on an optimized crystal structure of BaTaO3.

```
BaTaO3
1.0
3.621 0.000 0.000
0.000 3.621 0.000
0.000 0.000 5.628
Ba O Ta
1 3 1
Direct
0.500 0.500 0.450
0.500 0.500 0.053
0.000 0.500 0.749
0.500 0.000 0.749
0.000 0.000 0.899
```

---

[6]
VASP calculation (PBE) on an optimized crystal structure of ReTe4W.

```
ReTe4W
1.0
6.920 0.000 0.000
3.458 6.339 0.000
1.738 1.676 7.405
Te Re W
8 2 2
Direct
0.132 0.351 0.778
0.374 0.647 0.226
0.868 0.649 0.222
0.626 0.353 0.774
0.367 0.120 0.303
0.633 0.880 0.697
0.139 0.875 0.703
0.861 0.125 0.297
0.534 0.689 0.491
0.466 0.311 0.509
0.966 0.313 0.510
0.034 0.687 0.490
```

---

[7]
VASP calculation (PBE) on an optimized crystal structure of CdAgNO.

```
CdAgNO
1.0
4.708 0.000 0.000
0.000 4.710 0.000
0.000 0.000 9.204
Cd N O Ag
4 4 4 4
Direct
0.547 0.000 0.873
0.047 0.000 0.127
0.547 0.500 0.127
0.047 0.500 0.873
0.547 0.000 0.143
0.047 0.000 0.857
0.047 0.500 0.143
0.547 0.500 0.857
0.055 0.500 0.612
0.555 0.000 0.612
0.055 0.000 0.388
0.555 0.500 0.388
0.053 0.000 0.625
0.053 0.500 0.375
0.553 0.000 0.375
0.553 0.500 0.625
```

Calculated values
ΔE to the lowest computed polymorph in eV/atom: 0.109

---

[8]
VASP calculation (PBE) on an optimized crystal structure of Cd2GeS3.

```
Cd2GeS3
1.0
6.422 -1.894 0.000
6.422 1.894 0.000
0.000 0.000 11.280
Ge S Cd
2 6 4
Direct
0.223 0.223 0.750
0.777 0.777 0.250
0.134 0.134 0.250
0.629 0.629 0.580
0.866 0.866 0.750
0.371 0.371 0.080
0.629 0.629 0.920
0.371 0.371 0.420
0.498 0.498 0.250
0.502 0.502 0.750
0.000 0.000 0.000
0.000 0.000 0.500
```

---

[9]
VASP calculation (PBE) on an optimized crystal structure of K3Na2Pt3N3.

```
K3Na2Pt3N3
1.0
8.504 0.000 0.000
-4.252 7.365 0.000
0.000 0.000 3.768
Na N Pt K
2 3 3 3
Direct
0.333 0.667 0.000
0.667 0.333 0.000
0.611 0.000 0.000
0.389 0.389 0.000
0.000 0.611 0.000
0.387 0.387 0.500
0.613 0.000 0.500
0.000 0.613 0.500
0.737 0.737 0.000
0.263 0.000 0.000
0.000 0.263 0.000
```

---

[10]
VASP calculation (PBE) on an optimized crystal structure of CuAg4.

```
CuAg4
1.0
-4.903 -1.987 4.665
1.550 -2.372 0.619
5.409 4.722 4.546
Ag Cu
8 2
Direct
0.262 0.250 0.748
0.839 0.250 0.551
0.738 0.750 0.252
0.161 0.750 0.449
0.353 0.750 0.066
0.044 0.250 0.152
0.647 0.250 0.934
0.956 0.750 0.848
0.544 0.750 0.634
0.456 0.250 0.366
```

Calculated values
Formation energy from the elements in kJ/mol of formula units: 26
ΔE to the lowest computed polymorph in eV/atom: 0.029

---

[11]
VASP calculation (PBE) on an optimized crystal structure of Rb2NaCdI6.

```
Rb2NaCdI6
1.0
6.793 4.653 2.582
-1.109 -1.559 8.415
0.542 -6.251 -5.924
I Cd Rb Na
6 1 2 1
Direct
0.676 0.164 0.840
0.240 0.240 0.000
0.760 0.760 0.000
0.836 0.676 0.512
0.324 0.836 0.160
0.164 0.324 0.488
0.000 0.000 0.000
0.250 0.750 0.500
0.750 0.250 0.500
0.500 0.500 0.000
```

---

[12]
VASP calculation (PBE) on an optimized crystal structure of Ba2ZnCl2O2.

```
Ba2ZnCl2O2
1.0
0.379 1.507 -6.081
-3.300 -0.157 -5.336
-1.472 5.564 5.164
Ba Zn O Cl
2 1 2 2
Direct
0.192 0.192 0.743
0.808 0.808 0.257
0.000 0.000 0.000
0.170 0.170 0.064
0.830 0.830 0.936
0.565 0.565 0.345
0.435 0.435 0.655
```

Calculated values
ΔE to the lowest computed polymorph in eV/atom: 0.000

---

[13]
VASP calculation (PBE) on an optimized crystal structure of CoAsOsPd.

```
CoAsOsPd
1.0
0.000 3.038 3.038
3.038 0.000 3.038
3.038 3.038 0.000
Co Os As Pd
1 1 1 1
Direct
0.750 0.750 0.750
0.250 0.250 0.250
0.000 0.000 0.000
0.500 0.500 0.500
```

Calculated values
ΔE to the lowest computed polymorph in eV/atom: 0.000

---

[14]
VASP calculation (PBE) on an optimized crystal structure of GeMo3C2.

```
GeMo3C2
1.0
3.116 0.000 0.000
-1.558 2.699 0.000
0.000 0.000 17.862
Mo C Ge
6 4 2
Direct
0.000 0.000 0.000
0.000 0.000 0.500
0.667 0.333 0.366
0.333 0.667 0.866
0.333 0.667 0.634
0.667 0.333 0.134
0.333 0.667 0.073
0.333 0.667 0.427
0.667 0.333 0.573
0.667 0.333 0.927
0.000 0.000 0.750
0.000 0.000 0.250
```

---

[15]
VASP calculation (PBE) on an optimized crystal structure of Rb2SrAuBr6.

```
Rb2SrAuBr6
1.0
0.000 5.683 5.683
5.683 0.000 5.683
5.683 5.683 0.000
Br Rb Sr Au
6 2 1 1
Direct
0.760 0.240 0.760
0.240 0.240 0.760
0.760 0.240 0.240
0.240 0.760 0.240
0.240 0.760 0.760
0.760 0.760 0.240
0.250 0.250 0.250
0.750 0.750 0.750
0.500 0.500 0.500
0.000 0.000 0.000
```

---

[16]
VASP calculation (PBE) on an optimized crystal structure of AgSbW.

```
AgSbW
1.0
0.059 -4.295 1.481
1.650 -0.959 4.124
-2.811 -1.295 3.327
Sb Ag W
1 1 1
Direct
0.750 0.750 0.750
0.250 0.250 0.250
0.000 0.000 0.000
```

Calculated values
ΔE to the lowest computed polymorph in eV/atom: 0.000

---

[17]
VASP calculation (PBE) on an optimized crystal structure of YTm2Se3.

```
YTm2Se3
1.0
4.025 0.000 0.000
-2.012 3.486 0.000
0.000 0.000 9.911
Se Y Tm
3 1 2
Direct
0.667 0.333 0.327
0.333 0.667 0.673
0.000 0.000 0.000
0.000 0.000 0.500
0.667 0.333 0.835
0.333 0.667 0.165
```

---

[18]
VASP calculation (PBE) on an optimized crystal structure of LuSnPd.

```
LuSnPd
1.0
-3.770 1.990 6.095
-1.818 -6.233 -3.627
2.537 -2.040 2.235
Pd Lu Sn
3 3 3
Direct
0.000 0.000 0.000
0.333 0.667 0.500
0.667 0.333 0.500
0.593 0.000 0.000
0.000 0.593 0.000
0.407 0.407 0.000
0.000 0.260 0.500
0.260 0.000 0.500
0.740 0.740 0.500
```

---

[19]
VASP calculation (PBE) on an optimized crystal structure of LuSnHg.

```
LuSnHg
1.0
0.000 3.442 3.442
3.442 0.000 3.442
3.442 3.442 0.000
Hg Lu Sn
1 1 1
Direct
0.000 0.000 0.000
0.250 0.250 0.250
0.750 0.750 0.750
```

Calculated values
ΔE to the lowest computed polymorph in eV/atom: 0.000

---

[20]
VASP calculation (PBE) on an optimized crystal structure of BeTlCoIr.

```
BeTlCoIr
1.0
2.844 -2.102 2.461
1.465 1.810 3.625
-1.206 -1.564 3.829
Co Be Ir Tl
1 1 1 1
Direct
0.750 0.750 0.750
0.500 0.500 0.500
0.250 0.250 0.250
0.000 0.000 0.000
```

Calculated values
ΔE to the lowest computed polymorph in eV/atom: 0.000

---

[21]
VASP calculation (PBE) on an optimized crystal structure of La2Pt2O5.

```
La2Pt2O5
1.0
7.108 0.000 0.000
0.000 4.114 0.000
0.000 0.000 4.114
O Pt La
5 2 2
Direct
0.236 0.000 0.500
0.500 0.500 0.500
0.236 0.500 0.000
0.764 0.500 0.000
0.764 0.000 0.500
0.193 0.500 0.500
0.807 0.500 0.500
0.500 0.000 0.000
0.000 0.000 0.000
```

Calculated values
ΔE to the lowest computed polymorph in eV/atom: 0.000

---

[22]
VASP calculation (PBE) on an optimized crystal structure of CsTl9Pt2.

```
CsTl9Pt2
1.0
9.512 0.000 0.000
-4.756 8.238 0.000
0.000 0.000 4.629
Pt Tl Cs
2 9 1
Direct
0.667 0.333 0.000
0.333 0.667 0.000
0.209 0.417 0.500
0.417 0.209 0.500
0.209 0.791 0.500
0.791 0.209 0.500
0.583 0.791 0.500
0.500 0.000 0.000
0.791 0.583 0.500
0.000 0.500 0.000
0.500 0.500 0.000
0.000 0.000 0.000
```

---

| no. | total energy (eV/atom) |
| --- | --- |
| 1 | -1.973 |
| 2 | -7.926 |
| 3 | -5.165 |
| 4 | -8.162 |
| 5 | -7.433 |
| 6 | -6.375 |
| 7 | -3.786 |
| 8 | -3.368 |
| 9 | -4.702 |
| 10 | -2.950 |
| 11 | -2.270 |
| 12 | -4.910 |
| 13 | -6.749 |
| 14 | -9.226 |
| 15 | -2.956 |
| 16 | -5.800 |
| 17 | -6.004 |
| 18 | -5.478 |
| 19 | -3.180 |
| 20 | -5.126 |
| 21 | -6.956 |
| 22 | -2.950 |